DFT (GGA-PBE) results for a relaxed structure of CaTe2Os.

Calculated values
Calculated volume = 91.2 Å³/cell
Formation energy (no corrections) = 105 kJ/mol of formula units
ΔE to the lowest computed polymorph = 15.03 kcal/mol of atoms

Cell: 6.0147 6.0147 6.0147 Å, 139.42 139.42 58.74°
Positions (direct):
Ca (0.0000, 0.0000, 0.0000)
Te (0.5000, 0.5000, 0.0000)
Te (0.7500, 0.2500, 0.5000)
Os (0.2500, 0.7500, 0.5000)